1.
This record from the Alexandria database describes Zr2AlW after structural relaxation. The functional is PBE-GGA.

- Formation energy: 0.18 eV/f.u.

Cell: 2.895 2.895 9.611 Å, 90.00 90.00 107.79°
Positions (direct):
Zr (0.000, 0.000, 0.974)
Zr (0.500, 0.500, 0.272)
W (0.500, 0.500, 0.733)
Al (0.000, 0.000, 0.520)

2.
This record from the Alexandria database describes ZrZnSi after structural relaxation. The functional is PBE-GGA.

- Energy: -5.19 eV/atom

Cell: 6.352 6.352 7.300 Å, 109.18 109.18 104.17°
Positions (direct):
Zr (0.667, 0.667, 0.335)
Zr (0.333, 0.333, 0.665)
Zr (0.583, 0.083, 0.165)
Zr (0.917, 0.417, 0.835)
Si (0.969, 0.469, 0.500)
Si (0.719, 0.719, 0.000)
Si (0.531, 0.031, 0.500)
Si (0.281, 0.281, 0.000)
Zn (0.125, 0.375, 0.250)
Zn (0.125, 0.875, 0.750)
Zn (0.125, 0.875, 0.250)
Zn (0.625, 0.875, 0.750)

3.
This record from the Alexandria database describes V2SiNiH after structural relaxation. The functional is PBE-GGA.

- Energy: -6.90 eV/atom

Cell: 3.616 3.616 3.930 Å, 90.00 90.00 90.00°
Positions (direct):
Ni (0.000, 0.000, 0.500)
Si (0.500, 0.500, 0.500)
H (0.000, 0.000, 0.000)
V (0.000, 0.500, 0.000)
V (0.500, 0.000, 0.000)

Number 1: ρ 8.52 g/cm3, magnetic moment 0.000 μB per atom. Number 2: ρ 5.08 g/cm3, magnetic moment 0.000 μB per atom. Number 3: ρ 6.13 g/cm3, magnetic moment 0.000 μB per atom.